[1]
Compound: KNpCo2O8
Source: Alexandria via LeMat-Bulk
Functional: PBE with a Hubbard U
Structure: optimized geometry

Lattice parameters (Å, degrees): 6.0181 6.0181 6.0181 106.63 106.63 115.32
Positions (direct):
O 0.9386 0.2751 0.3365
O 0.8796 0.6573 0.2223
Co 0.5000 0.5000 0.0000
K 0.0000 0.0000 0.0000
O 0.3979 0.0614 0.3365
Co 0.7500 0.2500 0.5000
O 0.4351 0.6573 0.7777
Np 0.2500 0.7500 0.5000
O 0.3427 0.1204 0.7777
O 0.3427 0.5649 0.2223
O 0.9386 0.6021 0.6635
O 0.7249 0.0614 0.6635

Summary:
Total magnetization: 2.0 μB per formula unit
Calculated density: 5.21 g/cm³
Space-group type: No. 119
Crystal system: tetragonal
Calculated total energy: -6.616 eV/atom



[2]
Compound: K2NpCo3O12
Source: Alexandria via LeMat-Bulk
Functional: PBE with a Hubbard U
Structure: optimized geometry

Lattice parameters (Å, degrees): 7.2104 7.2104 7.2104 56.37 56.37 56.37
Positions (direct):
Co 0.0000 0.5000 0.0000
O 0.3178 0.3178 0.9196
O 0.0804 0.6822 0.6822
Co 0.5000 0.0000 0.0000
O 0.3178 0.9196 0.3178
O 0.6822 0.0804 0.6822
O 0.0738 0.0738 0.6600
K 0.6112 0.6112 0.6112
O 0.9262 0.3400 0.9262
O 0.3400 0.9262 0.9262
O 0.6600 0.0738 0.0738
O 0.0738 0.6600 0.0738
Np 0.0000 0.0000 0.0000
O 0.9262 0.9262 0.3400
O 0.6822 0.6822 0.0804
K 0.3888 0.3888 0.3888
Co 0.0000 0.0000 0.5000
O 0.9196 0.3178 0.3178

Summary:
Total magnetization: 6.0 μB per formula unit
Calculated density: 4.68 g/cm³
Space-group type: No. 166
Crystal system: trigonal
Calculated total energy: -6.140 eV/atom



[3]
Compound: K3NpCo2O8
Source: Alexandria via LeMat-Bulk
Functional: PBE with a Hubbard U
Structure: optimized geometry

Lattice parameters (Å, degrees): 5.9162 5.9162 7.6945 90.00 90.00 120.00
Positions (direct):
O 0.6705 0.8352 0.3430
O 0.8352 0.1648 0.6570
O 0.3295 0.1648 0.6570
O 0.3333 0.6667 0.0264
O 0.6667 0.3333 0.9736
Co 0.6667 0.3333 0.7516
O 0.8352 0.6705 0.6570
K 0.6667 0.3333 0.3093
Np 0.0000 0.0000 0.5000
Co 0.3333 0.6667 0.2484
O 0.1648 0.8352 0.3430
K 0.3333 0.6667 0.6907
O 0.1648 0.3295 0.3430
K 0.0000 0.0000 0.0000

Summary:
Total magnetization: 9.8 μB per formula unit
Calculated density: 4.27 g/cm³
Space-group type: No. 164
Crystal system: trigonal
Calculated total energy: -6.393 eV/atom



[4]
Compound: KNpCoO6
Source: Alexandria via LeMat-Bulk
Functional: PBE with a Hubbard U
Structure: optimized geometry

Lattice parameters (Å, degrees): 5.1977 5.1977 6.0790 89.82 90.18 60.53
Positions (direct):
K 0.9994 0.9994 0.0000
Co 0.6706 0.6707 0.5000
O 0.9854 0.3806 0.3251
O 0.3805 0.9854 0.6749
O 0.6362 0.9773 0.3223
O 0.3885 0.6282 0.3216
O 0.9772 0.6362 0.6777
Np 0.3338 0.3338 0.5000
O 0.6281 0.3885 0.6783

Summary:
Total magnetization: 1.0 μB per formula unit
Calculated density: 5.01 g/cm³
Space-group type: No. 5
Crystal system: monoclinic
Calculated total energy: -7.237 eV/atom



Q: Number 1 is which compound?
A: KNpCo2O8